KTlCd17 | PBE | optimized geometry

```
KTlCd17
1.0
5.1963 3.0001 5.0426
-5.1963 3.0001 5.0426
0.0000 -6.0002 5.0426
K Tl Cd
1 1 17
Cartesian
0.0000 0.0000 0.0000 K
0.0000 0.0000 4.8605 Tl
0.0000 -2.7809 2.6818 Cd
-2.4084 1.3905 2.6818 Cd
-2.7432 -1.5838 7.5183 Cd
0.0000 -2.9480 7.1507 Cd
-2.5530 1.4740 7.1507 Cd
-1.5317 -2.6897 9.9835 Cd
-3.0952 0.0184 9.9835 Cd
2.4084 1.3905 2.6818 Cd
0.0000 0.0000 8.3576 Cd
1.5317 -2.6897 9.9835 Cd
-1.5635 2.6713 9.9835 Cd
2.7432 -1.5838 7.5183 Cd
0.0000 3.1676 7.5183 Cd
0.0000 0.0000 11.4192 Cd
2.5530 1.4740 7.1507 Cd
3.0952 0.0184 9.9835 Cd
1.5635 2.6713 9.9835 Cd
```

Computed properties:
Size of the total moment = 0.00 μB/cell
ρ = 7.6 g cm⁻³
Formation energy from the elements = -0.01 eV/atom

---

ScHgCl2 | PBE | optimized geometry

```
ScHgCl2
1.0
5.9650 -1.7363 0.0000
5.9650 1.7363 0.0000
-3.1566 0.0000 5.8216
Sc Hg Cl
1 1 2
Cartesian
0.0000 0.0000 0.0000 Sc
3.0894 0.0000 0.0002 Hg
3.0627 0.0000 4.0432 Cl
6.2137 0.0000 1.7803 Cl
```

Computed properties:
Size of the total moment = 0.00 μB/cell
ρ = 4.4 g cm⁻³
E_form (uncorrected) = -1289 meV per atom
ΔE to the lowest computed polymorph = 2.32 kcal/mol of atoms